The following is a DFT calculation (meta-GGA SCAN) of a crystal of SrMg2Re relaxed with PBEsol. Values from VASP.

Its total energy is -99.889 eV per cell. The space group is No. 47. As for the crystal system: orthorhombic.

Geometry as Quantum ESPRESSO input:
```
&SYSTEM
  ibrav = 0, nat = 4, ntyp = 3
/
ATOMIC_SPECIES
Mg 24.30 Mg.upf
Re 186.21 Re.upf
Sr 87.62 Sr.upf
CELL_PARAMETERS angstrom
-0.0602 2.3714 -1.7544
3.0553 -2.5995 -3.6185
-4.4803 -1.9018 -2.4168
ATOMIC_POSITIONS angstrom
Mg 0.0000 0.0000 0.0000
Re -2.2702 0.2348 -2.0856
Sr -0.7125 -2.2506 -3.0177
Mg 1.4976 -0.1140 -2.6865
```